# 1
Material: Pd3SeF
Method: DFT, PBE
State: optimized geometry

```
data_Pd3SeF
_chemical_formula_sum 'Pd3 Se1 F1'
_cell_length_a 4.400
_cell_length_b 4.400
_cell_length_c 4.400
_cell_angle_alpha 90.00
_cell_angle_beta 90.00
_cell_angle_gamma 90.00
_symmetry_space_group_name_H-M 'P m -3 m'
_symmetry_Int_Tables_number 221
_symmetry_space_group_name_Hall '-P 4 2 3'
loop_
_atom_site_label
_atom_site_fract_x
_atom_site_fract_y
_atom_site_fract_z
Pd1 0.000 0.000 0.500
Se1 0.500 0.500 0.500
F1 0.000 0.000 0.000
```

Values from the calculation:
ΔE_f (raw) = 25 kJ per mole of atoms
Crystal system = cubic
Energy above the most stable polymorph in this dataset = 0.75 eV/f.u.

# 2
Material: Cs2TiGaCl
Method: DFT, PBE
State: optimized geometry

```
data_Cs2TiGaCl
_chemical_formula_sum 'Cs2 Ti1 Ga1 Cl1'
_cell_length_a 6.781
_cell_length_b 6.781
_cell_length_c 5.073
_cell_angle_alpha 90.00
_cell_angle_beta 90.00
_cell_angle_gamma 90.00
_symmetry_space_group_name_H-M 'P 4/m m m'
_symmetry_Int_Tables_number 123
_symmetry_space_group_name_Hall '-P 4 2'
loop_
_atom_site_label
_atom_site_fract_x
_atom_site_fract_y
_atom_site_fract_z
Cs1 0.000 0.500 0.000
Ti1 0.000 0.000 0.000
Ga1 0.000 0.000 0.500
Cl1 0.500 0.500 0.500
```

Values from the calculation:
ΔE_f (raw) = 10 kJ per mole of atoms
Crystal system = tetragonal

# 3
Material: Ba2YSbBr
Method: DFT, PBE
State: optimized geometry

```
data_Ba2YSbBr
_chemical_formula_sum 'Ba2 Y1 Sb1 Br1'
_cell_length_a 6.772
_cell_length_b 6.772
_cell_length_c 5.817
_cell_angle_alpha 90.00
_cell_angle_beta 90.00
_cell_angle_gamma 90.00
_symmetry_space_group_name_H-M 'P 4/m m m'
_symmetry_Int_Tables_number 123
_symmetry_space_group_name_Hall '-P 4 2'
loop_
_atom_site_label
_atom_site_fract_x
_atom_site_fract_y
_atom_site_fract_z
Ba1 0.000 0.500 0.000
Y1 0.000 0.000 0.500
Sb1 0.500 0.500 0.000
Br1 0.500 0.500 0.500
```

Values from the calculation:
ΔE_f (raw) = 4 kJ per mole of atoms
Crystal system = tetragonal

# 4
Material: Na3LiZr
Method: DFT, PBE
State: optimized geometry

```
data_Na3LiZr
_chemical_formula_sum 'Na3 Li1 Zr1'
_cell_length_a 5.256
_cell_length_b 5.256
_cell_length_c 5.256
_cell_angle_alpha 90.00
_cell_angle_beta 90.00
_cell_angle_gamma 90.00
_symmetry_space_group_name_H-M 'P m -3 m'
_symmetry_Int_Tables_number 221
_symmetry_space_group_name_Hall '-P 4 2 3'
loop_
_atom_site_label
_atom_site_fract_x
_atom_site_fract_y
_atom_site_fract_z
Na1 0.000 0.000 0.500
Li1 0.000 0.000 0.000
Zr1 0.500 0.500 0.500
```

Values from the calculation:
ΔE_f = 0.841 eV per atom
Crystal system = cubic
Energy above the most stable polymorph in this dataset = 0.00 eV/f.u.

# 5
Material: NaSnPdF2
Method: DFT, PBE
State: optimized geometry

```
data_NaSnPdF2
_chemical_formula_sum 'Na1 Sn1 Pd1 F2'
_cell_length_a 4.027
_cell_length_b 4.027
_cell_length_c 5.680
_cell_angle_alpha 90.00
_cell_angle_beta 90.00
_cell_angle_gamma 90.00
_symmetry_space_group_name_H-M 'P 4/m m m'
_symmetry_Int_Tables_number 123
_symmetry_space_group_name_Hall '-P 4 2'
loop_
_atom_site_label
_atom_site_fract_x
_atom_site_fract_y
_atom_site_fract_z
Na1 0.000 0.000 0.000
Sn1 0.000 0.000 0.500
Pd1 0.500 0.500 0.500
F1 0.000 0.500 0.000
```

Values from the calculation:
ΔE_f (raw) = -88 kJ per mole of atoms
Crystal system = tetragonal

# 6
Material: CuAg2Cl
Method: DFT, PBE
State: optimized geometry

```
data_CuAg2Cl
_chemical_formula_sum 'Cu1 Ag2 Cl1'
_cell_length_a 3.581
_cell_length_b 3.336
_cell_length_c 6.588
_cell_angle_alpha 90.00
_cell_angle_beta 90.63
_cell_angle_gamma 90.00
_symmetry_space_group_name_H-M 'P 1 m 1'
_symmetry_Int_Tables_number 6
loop_
_symmetry_equiv_pos_as_xyz
'x,y,z'
'x,-y,z'
loop_
_atom_site_label
_atom_site_fract_x
_atom_site_fract_y
_atom_site_fract_z
Cu1 0.000 0.000 0.000
Ag1 0.495 0.500 0.822
Ag2 0.991 0.000 0.598
Cl1 0.999 0.500 0.259
```

Values from the calculation:
ΔE_f (raw) = -6 kJ per mole of atoms
Crystal system = monoclinic
Energy above the most stable polymorph in this dataset = 0.00 eV/f.u.

# 7
Material: NdSm4Pb4
Method: DFT, PBE
State: optimized geometry

```
data_NdSm4Pb4
_chemical_formula_sum 'Nd2 Sm8 Pb8'
_cell_length_a 10.007
_cell_length_b 10.007
_cell_length_c 6.356
_cell_angle_alpha 90.00
_cell_angle_beta 90.00
_cell_angle_gamma 90.00
_symmetry_space_group_name_H-M 'I 4/m'
_symmetry_Int_Tables_number 87
_symmetry_space_group_name_Hall '-I 4'
loop_
_atom_site_label
_atom_site_fract_x
_atom_site_fract_y
_atom_site_fract_z
Nd1 0.000 0.000 0.000
Sm1 0.100 0.706 0.500
Pb1 0.098 0.699 0.000
```

Values from the calculation:
ΔE_f = -0.297 eV per atom
Crystal system = tetragonal

# 8
Material: BaSc2Zn
Method: DFT, PBE
State: optimized geometry

```
data_BaSc2Zn
_chemical_formula_sum 'Ba2 Sc4 Zn2'
_cell_length_a 3.662
_cell_length_b 5.078
_cell_length_c 11.987
_cell_angle_alpha 90.00
_cell_angle_beta 90.00
_cell_angle_gamma 90.00
_symmetry_space_group_name_H-M 'I m m 2'
_symmetry_Int_Tables_number 44
loop_
_symmetry_equiv_pos_as_xyz
'x,y,z'
'-x,-y,z'
'-x,y,z'
'x,-y,z'
'x+1/2,y+1/2,z+1/2'
'-x+1/2,-y+1/2,z+1/2'
'-x+1/2,y+1/2,z+1/2'
'x+1/2,-y+1/2,z+1/2'
loop_
_atom_site_label
_atom_site_fract_x
_atom_site_fract_y
_atom_site_fract_z
Ba1 0.000 0.000 0.000
Sc1 0.000 0.000 0.599
Sc2 0.000 0.500 0.784
Zn1 0.000 0.500 0.265
```

Values from the calculation:
ΔE_f = 0.191 eV per atom
Crystal system = orthorhombic

# 9
Material: Ba3NiC
Method: DFT, PBE
State: optimized geometry

```
data_Ba3NiC
_chemical_formula_sum 'Ba3 Ni1 C1'
_cell_length_a 5.625
_cell_length_b 5.625
_cell_length_c 5.625
_cell_angle_alpha 90.00
_cell_angle_beta 90.00
_cell_angle_gamma 90.00
_symmetry_space_group_name_H-M 'P m -3 m'
_symmetry_Int_Tables_number 221
_symmetry_space_group_name_Hall '-P 4 2 3'
loop_
_atom_site_label
_atom_site_fract_x
_atom_site_fract_y
_atom_site_fract_z
Ba1 0.000 0.000 0.500
Ni1 0.500 0.500 0.500
C1 0.000 0.000 0.000
```

Values from the calculation:
ΔE_f = 0.680 eV per atom
Crystal system = cubic
Energy above the most stable polymorph in this dataset = 0.00 eV/f.u.

# 10
Material: Ce4ZnPb3
Method: DFT, PBE
State: optimized geometry

```
data_Ce4ZnPb3
_chemical_formula_sum 'Ce4 Zn1 Pb3'
_cell_length_a 4.496
_cell_length_b 4.620
_cell_length_c 11.760
_cell_angle_alpha 90.00
_cell_angle_beta 90.00
_cell_angle_gamma 90.00
_symmetry_space_group_name_H-M 'P m m 2'
_symmetry_Int_Tables_number 25
loop_
_symmetry_equiv_pos_as_xyz
'x,y,z'
'-x,-y,z'
'-x,y,z'
'x,-y,z'
loop_
_atom_site_label
_atom_site_fract_x
_atom_site_fract_y
_atom_site_fract_z
Ce1 0.000 0.000 0.000
Ce2 0.000 0.500 0.478
Ce3 0.500 0.000 0.717
Ce4 0.500 0.500 0.221
Zn1 0.000 0.000 0.271
Pb1 0.000 0.500 0.753
Pb2 0.500 0.000 0.434
Pb3 0.500 0.500 0.947
```

Values from the calculation:
ΔE_f = -0.283 eV per atom
Crystal system = orthorhombic

# 11
Material: Fe2TcGePb
Method: DFT, PBE
State: optimized geometry

```
data_Fe2TcGePb
_chemical_formula_sum 'Fe2 Tc1 Ge1 Pb1'
_cell_length_a 4.865
_cell_length_b 4.865
_cell_length_c 5.265
_cell_angle_alpha 90.00
_cell_angle_beta 90.00
_cell_angle_gamma 90.00
_symmetry_space_group_name_H-M 'P 4/m m m'
_symmetry_Int_Tables_number 123
_symmetry_space_group_name_Hall '-P 4 2'
loop_
_atom_site_label
_atom_site_fract_x
_atom_site_fract_y
_atom_site_fract_z
Fe1 0.000 0.500 0.000
Tc1 0.000 0.000 0.500
Ge1 0.500 0.500 0.500
Pb1 0.500 0.500 0.000
```

Values from the calculation:
ΔE_f = 2.039 eV per atom
Crystal system = tetragonal

# 12
Material: Be2IrS
Method: DFT, PBE
State: optimized geometry

```
data_Be2IrS
_chemical_formula_sum 'Be8 Ir4 S4'
_cell_length_a 5.240
_cell_length_b 5.240
_cell_length_c 8.676
_cell_angle_alpha 90.00
_cell_angle_beta 90.00
_cell_angle_gamma 90.00
_symmetry_space_group_name_H-M 'I -4 2 d'
_symmetry_Int_Tables_number 122
_symmetry_space_group_name_Hall 'I -4 2bw'
loop_
_atom_site_label
_atom_site_fract_x
_atom_site_fract_y
_atom_site_fract_z
Be1 0.224 0.250 0.125
Ir1 0.000 0.000 0.500
S1 0.000 0.000 0.000
```

Values from the calculation:
ΔE_f (raw) = 12 kJ per mole of atoms
Crystal system = tetragonal